# NaAc2Nd

Crystalline NaAc2Nd at its relaxed geometry (GGA-PBE, the Alexandria database).

a b c (Å): 3.9970 6.3213 6.3213
angles (deg): 90.00 90.00 90.00
Closest atoms and distances in Å follow each position.
Sites, in units of the cell vectors:
Ac (0.0000, 0.5000, 0.0000)  4 Nd 3.74, 4 Na 3.74, 2 Ac 4.00
Nd (0.5000, 0.5000, 0.5000)  8 Ac 3.74, 2 Nd 4.00
Ac (0.0000, 0.0000, 0.5000)  4 Na 3.74, 4 Nd 3.74, 2 Ac 4.00
Na (0.5000, 0.0000, 0.0000)  8 Ac 3.74, 2 Na 4.00

Results
calculated formation energy: 134 meV per atom
energy above the lowest structure with this stoichiometry: 59 meV/atom
energy: -13.8 eV per cell
volume: 160 Å³/cell